Entry 1:
A relaxed structure of Mo2SeCl. Source: Alexandria, functional GGA-PBE.

Unit cell a=3.124 b=3.326 c=8.156 alpha=78.60 beta=90.00 gamma=90.00
Fractional positions:
Mo (0.000, 0.786, 0.048)
Mo (0.500, 0.206, 0.237)
Se (0.000, 0.617, 0.401)
Cl (0.500, 0.891, 0.814)

space group: Pm (6)
M_tot: 0.0 μB per cell
D(E_F): 0.45 states/eV per atom

=====

Entry 2:
A relaxed structure of ZnNi6H3. Source: Alexandria, functional GGA-PBE.

Unit cell a=2.547 b=8.327 c=8.313 alpha=105.03 beta=90.00 gamma=90.00
Fractional positions:
Zn (0.750, 0.596, 0.899)
Zn (0.250, 0.404, 0.101)
H (0.250, 0.247, 0.673)
H (0.750, 0.937, 0.849)
H (0.250, 0.063, 0.151)
H (0.750, 0.362, 0.455)
H (0.250, 0.638, 0.545)
H (0.750, 0.753, 0.327)
Ni (0.250, 0.862, 0.964)
Ni (0.250, 0.253, 0.320)
Ni (0.750, 0.139, 0.534)
Ni (0.250, 0.031, 0.753)
Ni (0.750, 0.969, 0.247)
Ni (0.250, 0.449, 0.620)
Ni (0.750, 0.300, 0.827)
Ni (0.250, 0.700, 0.173)
Ni (0.750, 0.551, 0.380)
Ni (0.750, 0.138, 0.036)
Ni (0.250, 0.861, 0.466)
Ni (0.750, 0.747, 0.680)

space group: P2_1/m (11)
M_tot: 0.0 μB per cell
D(E_F): 1.08 states/eV per atom

=====

Entry 3:
A relaxed structure of Th3FeSe2. Source: Alexandria, functional GGA-PBE.

Unit cell a=7.154 b=7.154 c=7.484 alpha=99.35 beta=99.35 gamma=119.58
Fractional positions:
Th (0.898, 0.596, 0.784)
Th (0.625, 0.958, 0.786)
Th (0.769, 0.738, 0.216)
Th (0.042, 0.375, 0.214)
Th (0.262, 0.231, 0.784)
Th (0.404, 0.102, 0.216)
Se (0.333, 0.667, 0.000)
Se (0.489, 0.511, 0.500)
Se (0.178, 0.822, 0.500)
Se (0.833, 0.167, 0.500)
Fe (0.001, 0.999, 0.000)
Fe (0.666, 0.334, 0.000)

space group: C2/m (12)
M_tot: 0.0 μB per cell
D(E_F): 0.84 states/eV per atom

=====

Entry 4:
A relaxed structure of Ti2MnIr2. Source: Alexandria, functional GGA-PBE.

Unit cell a=7.265 b=7.265 c=2.907 alpha=90.00 beta=90.00 gamma=90.00
Fractional positions:
Ti (0.164, 0.664, 0.500)
Ti (0.336, 0.164, 0.500)
Ti (0.664, 0.836, 0.500)
Ti (0.836, 0.336, 0.500)
Mn (0.500, 0.500, 0.000)
Mn (0.000, 0.000, 0.000)
Ir (0.637, 0.137, 0.000)
Ir (0.137, 0.363, 0.000)
Ir (0.863, 0.637, 0.000)
Ir (0.363, 0.863, 0.000)

space group: P4/mbm (127)
M_tot: 0.0 μB per cell
ΔH_f (0 K): -1.3 eV per formula unit
D(E_F): 1.00 states/eV per atom

=====

Entry 5:
A relaxed structure of LiAl2Ru. Source: Alexandria, functional GGA-PBE.

Unit cell a=12.489 b=6.751 c=6.751 alpha=21.73 beta=22.35 gamma=22.35
Fractional positions:
Li (0.000, 0.000, 0.000)
Al (0.303, 0.000, 0.000)
Al (0.697, 0.000, 0.000)
Ru (0.500, 0.000, 0.000)

space group: Immm (71)
M_tot: 0.0 μB per cell
ΔH_f (0 K): 1.0 eV per formula unit
D(E_F): 0.41 states/eV per atom

=====

Entry 6:
A relaxed structure of TcAg2As. Source: Alexandria, functional GGA-PBE.

Unit cell a=5.806 b=5.806 c=4.285 alpha=68.34 beta=68.34 gamma=30.28
Fractional positions:
As (0.750, 0.750, 0.750)
Tc (0.250, 0.250, 0.250)
Ag (0.473, 0.473, 0.527)
Ag (0.027, 0.027, 0.973)

space group: Immm (71)
M_tot: 0.6 μB per cell
ΔH_f (0 K): 1.4 eV per formula unit
D(E_F): 0.73 states/eV per atom

=====

Entry 7:
A relaxed structure of Ni2PPt. Source: Alexandria, functional GGA-PBE.

Unit cell a=4.130 b=4.130 c=4.130 alpha=60.00 beta=60.00 gamma=60.00
Fractional positions:
Ni (0.000, 0.000, 0.000)
Ni (0.750, 0.750, 0.750)
P (0.500, 0.500, 0.500)
Pt (0.250, 0.250, 0.250)

space group: F-43m (216)
M_tot: 0.0 μB per cell
ΔH_f (0 K): -0.2 eV per formula unit
D(E_F): 0.99 states/eV per atom

=====

Entry 8:
A relaxed structure of LiMg2Be. Source: Alexandria, functional GGA-PBE.

Unit cell a=5.356 b=5.356 c=4.573 alpha=66.37 beta=66.37 gamma=34.33
Fractional positions:
Mg (0.775, 0.775, 0.720)
Mg (0.996, 0.996, 0.008)
Be (0.508, 0.508, 0.497)
Li (0.221, 0.221, 0.276)

space group: Cm (8)
M_tot: 0.0 μB per cell
ΔH_f (0 K): 0.7 eV per formula unit
D(E_F): 0.34 states/eV per atom

=====

Entry 9:
A relaxed structure of Ce6IrPt2. Source: Alexandria, functional GGA-PBE.

Unit cell a=4.538 b=7.206 c=7.687 alpha=117.95 beta=90.00 gamma=90.00
Fractional positions:
Ce (0.000, 0.947, 0.198)
Ce (0.000, 0.326, 0.000)
Ce (0.500, 0.387, 0.407)
Ce (0.000, 0.749, 0.802)
Ce (0.500, 0.586, 0.000)
Ce (0.500, 0.980, 0.593)
Ir (0.500, 0.083, 0.000)
Pt (0.000, 0.275, 0.609)
Pt (0.000, 0.666, 0.391)

space group: Amm2 (38)
M_tot: 1.8 μB per cell
ΔH_f (0 K): -6.0 eV per formula unit
D(E_F): 2.39 states/eV per atom

=====

Entry 10:
A relaxed structure of BaZn3Rh. Source: Alexandria, functional GGA-PBE.

Unit cell a=4.917 b=4.917 c=10.165 alpha=90.00 beta=90.00 gamma=120.00
Fractional positions:
Rh (0.000, 0.000, 0.500)
Rh (0.000, 0.000, 0.000)
Zn (0.333, 0.667, 0.438)
Zn (0.000, 0.000, 0.750)
Zn (0.667, 0.333, 0.562)
Zn (0.667, 0.333, 0.938)
Zn (0.000, 0.000, 0.250)
Zn (0.333, 0.667, 0.062)
Ba (0.667, 0.333, 0.250)
Ba (0.333, 0.667, 0.750)

space group: P6_3/mmc (194)
M_tot: 0.0 μB per cell
ΔH_f (0 K): -0.2 eV per formula unit
D(E_F): 0.59 states/eV per atom

=====

Entry 11:
A relaxed structure of ScCoAg2. Source: Alexandria, functional GGA-PBE.

Unit cell a=4.567 b=4.567 c=4.567 alpha=60.00 beta=60.00 gamma=60.00
Fractional positions:
Ag (0.000, 0.000, 0.000)
Ag (0.250, 0.250, 0.250)
Sc (0.750, 0.750, 0.750)
Co (0.500, 0.500, 0.500)

space group: F-43m (216)
M_tot: 0.8 μB per cell
ΔH_f (0 K): 0.1 eV per formula unit
D(E_F): 1.09 states/eV per atom

=====

Entry 12:
A relaxed structure of Er2Zn3Cu4. Source: Alexandria, functional GGA-PBE.

Unit cell a=7.788 b=7.175 c=6.889 alpha=90.00 beta=124.42 gamma=90.00
Fractional positions:
Zn (0.137, 0.750, 0.775)
Zn (0.000, 0.000, 0.000)
Zn (0.500, 0.500, 0.000)
Zn (0.863, 0.250, 0.225)
Zn (0.637, 0.750, 0.775)
Zn (0.363, 0.250, 0.225)
Er (0.739, 0.006, 0.478)
Er (0.239, 0.494, 0.478)
Er (0.261, 0.994, 0.522)
Er (0.761, 0.506, 0.522)
Cu (0.511, 0.834, 0.022)
Cu (0.111, 0.250, 0.721)
Cu (0.611, 0.250, 0.721)
Cu (0.989, 0.334, 0.978)
Cu (0.011, 0.666, 0.022)
Cu (0.489, 0.166, 0.978)
Cu (0.889, 0.750, 0.279)
Cu (0.389, 0.750, 0.279)

space group: Cmce (64)
M_tot: 0.0 μB per cell
ΔH_f (0 K): -0.8 eV per formula unit
D(E_F): 0.63 states/eV per atom

=====

The evaluated E_tot for the records listed, in turn: -6.94 -4.65 -7.37 -8.80 -4.41 -4.83 -5.81 -2.03 -6.94 -2.65 -4.75 -3.34 eV per atom.